--- i ---
# Er8FeCu2

Crystalline Er8FeCu2 at its relaxed geometry (GGA-PBE, the Alexandria database).

Computed properties:
Total moment, μB per formula unit: 0.00

abc: 16.908 5.050 6.587
angles: 90.00 107.66 90.00
Space group C2/m (No. 12)
Inequivalent atoms, fractional coordinates:
Er 0.031 0.000 0.297
Er 0.090 0.500 0.934
Er 0.165 0.500 0.473
Er 0.198 0.000 0.816
Fe 0.000 0.500 0.500
Cu 0.184 0.000 0.216

***

--- ii ---
# Er8FeCu2

Crystalline Er8FeCu2 at its relaxed geometry (GGA-PBE, the Alexandria database).

Computed properties:
Total moment, μB per formula unit: 0.00

abc: 6.861 16.655 5.597
angles: 90.00 119.34 90.00
Space group Cm (No. 8)
Inequivalent atoms, fractional coordinates:
Er 0.000 0.000 0.000
Er 0.008 0.500 0.858
Er 0.041 0.115 0.545
Er 0.254 0.295 0.928
Er 0.464 0.116 0.311
Fe 0.252 0.500 0.431
Cu 0.252 0.244 0.426

***

What is the stability order? It is i, ii, from most stable to least stable.